Entry 1:
4
Lattice="1.757 1.014 10.846 -1.757 1.014 10.846 0.000 -2.028 10.846" Properties=species:S:1:pos:R:3 comment="LaTlIn2, relaxed, DFT PBE" space_group=R3m final_energy_ev_per_atom=-3.31 pbc="T T T"
La 0.000 0.000 0.000
Tl 0.000 0.000 7.974
In 0.000 0.000 16.216
In 0.000 0.000 24.515

***

Entry 2:
4
Lattice="0.000 2.908 2.908 2.908 0.000 2.908 2.908 2.908 0.000" Properties=species:S:1:pos:R:3 comment="NiGe2H, relaxed, DFT PBE" space_group=Fm-3m relative_energy_mev_per_atom=168 final_energy_ev_per_atom=-4.28 pbc="T T T"
Ni 0.000 0.000 0.000
Ge 1.454 1.454 1.454
Ge 4.362 4.362 4.362
H 2.908 2.908 2.908